# 1
A relaxed structure of Tb3Y2ErSe6. Source: Alexandria, functional PBE.

DFT total energy: -6.11 eV/atom
Magnetic moment: 0.000 μB per formula unit
Formation energy from raw total energies: -1.76 eV per atom

Cell: 9.122 9.122 8.200 Å, 103.11 103.11 25.78°
Sites, in units of the cell vectors:
1 Tb 0.000 0.000 0.000
2 Tb 0.332 0.332 0.667
3 Tb 0.668 0.668 0.333
4 Y 0.333 0.333 0.166
5 Y 0.667 0.667 0.834
6 Er 0.000 0.000 0.500
7 Se 0.165 0.165 0.583
8 Se 0.166 0.166 0.083
9 Se 0.500 0.500 0.254
10 Se 0.500 0.500 0.746
11 Se 0.834 0.834 0.917
12 Se 0.835 0.835 0.417



# 2
A relaxed structure of TbY2ErSe4. Source: Alexandria, functional PBE.

DFT total energy: -6.25 eV/atom
Magnetic moment: 0.000 μB per formula unit
Formation energy from raw total energies: -1.75 eV per atom

Cell: 7.072 4.033 7.102 Å, 90.00 108.94 90.00°
Sites, in units of the cell vectors:
1 Tb 0.000 0.000 0.000
2 Y 0.500 0.000 0.500
3 Y 0.500 0.500 0.000
4 Er 0.000 0.500 0.500
5 Se 0.247 0.000 0.746
6 Se 0.249 0.500 0.252
7 Se 0.751 0.500 0.748
8 Se 0.753 0.000 0.254



# 3
A relaxed structure of Tb3YEr3Se8. Source: Alexandria, functional PBE.

DFT total energy: -5.96 eV/atom
Magnetic moment: 0.000 μB per formula unit
Formation energy from raw total energies: -1.83 eV per atom

Cell: 8.111 8.111 8.111 Å, 59.93 59.93 59.93°
Sites, in units of the cell vectors:
1 Tb 0.000 0.500 0.500
2 Tb 0.500 0.000 0.500
3 Tb 0.500 0.500 0.000
4 Y 0.500 0.500 0.500
5 Er 0.000 0.000 0.500
6 Er 0.000 0.500 0.000
7 Er 0.500 0.000 0.000
8 Se 0.242 0.754 0.754
9 Se 0.246 0.246 0.758
10 Se 0.246 0.758 0.246
11 Se 0.248 0.248 0.248
12 Se 0.752 0.752 0.752
13 Se 0.754 0.242 0.754
14 Se 0.754 0.754 0.242
15 Se 0.758 0.246 0.246



# 4
A relaxed structure of Er4TcSe. Source: Alexandria, functional PBE.

DFT total energy: -5.97 eV/atom
Magnetic moment: 0.000 μB per formula unit
Formation energy from raw total energies: -0.62 eV per atom

Cell: 7.321 4.170 19.950 Å, 90.00 90.00 90.00°
Sites, in units of the cell vectors:
1 Er 0.010 0.250 0.075
2 Er 0.065 0.250 0.359
3 Er 0.102 0.250 0.787
4 Er 0.154 0.250 0.528
5 Er 0.346 0.750 0.028
6 Er 0.398 0.750 0.287
7 Er 0.435 0.750 0.859
8 Er 0.490 0.750 0.575
9 Er 0.510 0.250 0.425
10 Er 0.565 0.250 0.141
11 Er 0.602 0.250 0.713
12 Er 0.654 0.250 0.972
13 Er 0.846 0.750 0.472
14 Er 0.898 0.750 0.213
15 Er 0.935 0.750 0.641
16 Er 0.990 0.750 0.925
17 Tc 0.248 0.750 0.431
18 Tc 0.252 0.250 0.931
19 Tc 0.748 0.750 0.069
20 Tc 0.752 0.250 0.569
21 Se 0.192 0.250 0.213
22 Se 0.308 0.750 0.713
23 Se 0.692 0.250 0.287
24 Se 0.808 0.750 0.787



# 5
A relaxed structure of Er4TcSe2. Source: Alexandria, functional PBE.

DFT total energy: -6.03 eV/atom
Magnetic moment: 0.000 μB per formula unit
Formation energy from raw total energies: -0.95 eV per atom

Cell: 6.876 6.876 13.912 Å, 90.00 90.00 147.79°
Sites, in units of the cell vectors:
1 Er 0.000 0.000 0.000
2 Er 0.000 0.000 0.500
3 Er 0.297 0.703 0.631
4 Er 0.297 0.703 0.869
5 Er 0.450 0.550 0.250
6 Er 0.550 0.450 0.750
7 Er 0.703 0.297 0.131
8 Er 0.703 0.297 0.369
9 Tc 0.100 0.900 0.250
10 Tc 0.900 0.100 0.750
11 Se 0.358 0.642 0.064
12 Se 0.358 0.642 0.436
13 Se 0.642 0.358 0.564
14 Se 0.642 0.358 0.936



# 6
A relaxed structure of Er4Te5Se2. Source: Alexandria, functional PBE.

DFT total energy: -4.94 eV/atom
Magnetic moment: 0.000 μB per formula unit
Formation energy from raw total energies: -1.22 eV per atom

Cell: 13.985 13.985 7.114 Å, 90.44 90.44 17.03°
Sites, in units of the cell vectors:
1 Er 0.056 0.056 0.227
2 Er 0.328 0.328 0.618
3 Er 0.672 0.672 0.382
4 Er 0.944 0.944 0.773
5 Te 0.156 0.156 0.078
6 Te 0.215 0.215 0.656
7 Te 0.500 0.500 0.000
8 Te 0.785 0.785 0.344
9 Te 0.844 0.844 0.922
10 Se 0.425 0.425 0.523
11 Se 0.575 0.575 0.477



# 7
A relaxed structure of Er3TeSe. Source: Alexandria, functional PBE.

E above lowest polymorph: 0.0 meV/atom
DFT total energy: -5.04 eV/atom
Magnetic moment: 0.415 μB per formula unit
Formation energy from raw total energies: -0.98 eV per atom

Cell: 6.939 3.977 10.853 Å, 90.00 99.80 90.00°
Sites, in units of the cell vectors:
1 Er 0.174 0.250 0.438
2 Er 0.283 0.750 0.740
3 Er 0.293 0.750 0.061
4 Er 0.707 0.250 0.939
5 Er 0.717 0.250 0.260
6 Er 0.826 0.750 0.562
7 Te 0.450 0.750 0.348
8 Te 0.550 0.250 0.652
9 Se 0.041 0.250 0.150
10 Se 0.959 0.750 0.850



# 8
A relaxed structure of Er7Te2Se2. Source: Alexandria, functional PBE.

DFT total energy: -4.94 eV/atom
Magnetic moment: 0.003 μB per formula unit
Formation energy from raw total energies: -0.83 eV per atom

Cell: 7.190 7.190 7.485 Å, 99.15 99.15 110.55°
Sites, in units of the cell vectors:
1 Er 0.000 0.000 0.000
2 Er 0.085 0.538 0.802
3 Er 0.405 0.405 0.167
4 Er 0.462 0.915 0.198
5 Er 0.538 0.085 0.802
6 Er 0.595 0.595 0.833
7 Er 0.915 0.462 0.198
8 Te 0.320 0.680 0.500
9 Te 0.680 0.320 0.500
10 Se 0.222 0.222 0.766
11 Se 0.778 0.778 0.234